i) DFT (GGA-PBE) results for a geometry-optimized Ca2ScAg structure.

Structure (POSCAR):
```
Ca2ScAg
1.0
-4.357 4.357 3.203
4.357 -4.357 3.203
4.357 4.357 -3.203
Ca Sc Ag
4 2 2
Direct
0.073 0.125 0.448
0.375 0.927 0.052
0.677 0.625 0.552
0.875 0.323 0.948
0.250 0.750 0.500
0.500 0.500 0.000
0.000 0.000 0.000
0.750 0.250 0.500
```

## Properties
N(E_F) = 1.1837 states/eV per atom
Calculated volume = 243.2 Å³ per cell
Space group = I-42d, No. 122

ii) DFT (GGA-PBE) results for a geometry-optimized Ca2ScAg structure.

Structure (POSCAR):
```
Ca2ScAg
1.0
-1.815 2.793 5.764
1.815 -2.793 5.764
1.815 2.793 -5.764
Ca Sc Ag
2 1 1
Direct
0.000 0.000 0.000
0.706 0.206 0.500
0.293 0.793 0.500
0.483 0.483 0.000
```

## Properties
N(E_F) = 1.4629 states/eV per atom
Calculated volume = 116.9 Å³ per cell
Space group = Imm2, No. 44

Most stable one: ii), least stable one: i).

i) DFT (GGA-PBE) results for a geometry-optimized CaSc2Ag2 structure.

Structure (POSCAR):
```
CaSc2Ag2
1.0
-2.189 2.189 6.564
2.189 -2.189 6.564
2.189 2.189 -6.564
Ca Sc Ag
1 2 2
Direct
0.000 0.000 0.000
0.250 0.750 0.500
0.750 0.250 0.500
0.395 0.395 0.000
0.605 0.605 0.000
```

## Properties
N(E_F) = 1.3043 states/eV per atom
Calculated volume = 125.8 Å³ per cell
Space group = I4/mmm, No. 139

ii) DFT (GGA-PBE) results for a geometry-optimized CaSc2Ag2 structure.

Structure (POSCAR):
```
CaSc2Ag2
1.0
-2.225 2.225 6.574
2.225 -2.225 6.574
2.225 2.225 -6.574
Ca Sc Ag
1 2 2
Direct
0.000 0.000 0.000
0.379 0.379 0.000
0.621 0.621 0.000
0.250 0.750 0.500
0.750 0.250 0.500
```

## Properties
N(E_F) = 1.0497 states/eV per atom
Calculated volume = 130.2 Å³ per cell
Space group = I4/mmm, No. 139

iii) DFT (GGA-PBE) results for a geometry-optimized CaSc2Ag2 structure.

Structure (POSCAR):
```
CaSc2Ag2
1.0
8.369 0.000 0.000
0.000 8.369 0.000
0.000 0.000 3.252
Ca Sc Ag
2 4 4
Direct
0.000 0.000 0.000
0.500 0.500 0.000
0.134 0.366 0.000
0.366 0.866 0.000
0.634 0.134 0.000
0.866 0.634 0.000
0.160 0.660 0.500
0.340 0.160 0.500
0.660 0.840 0.500
0.840 0.340 0.500
```

## Properties
N(E_F) = 0.7239 states/eV per atom
Calculated volume = 227.8 Å³ per cell
Space group = P4/mbm, No. 127

Most stable one: iii), least stable one: ii).

i) DFT (GGA-PBE) results for a geometry-optimized CaAgSe structure.

Structure (POSCAR):
```
CaAgSe
1.0
-1.951 1.951 4.892
1.951 -1.951 4.892
1.951 1.951 -4.892
Ca Ag Se
1 1 1
Direct
0.000 0.000 0.000
0.317 0.317 0.000
0.606 0.606 0.000
```

## Properties
N(E_F) = 0.2910 states/eV per atom
Calculated volume = 74.5 Å³ per cell
Space group = I4mm, No. 107

ii) DFT (GGA-PBE) results for a geometry-optimized CaAgSe structure.

Structure (POSCAR):
```
CaAgSe
1.0
4.409 0.000 0.000
-2.205 3.819 0.000
0.000 0.000 4.420
Ca Ag Se
1 1 1
Direct
0.000 0.000 0.000
0.333 0.667 0.579
0.667 0.333 0.365
```

## Properties
N(E_F) = 0.4905 states/eV per atom
Calculated volume = 74.4 Å³ per cell
Space group = P3m1, No. 156

Most stable one: ii), least stable one: i).